Computed, not measured: SrHf2Ag after structural relaxation at the PBE level of DFT.

a = 5.1150 Å, b = 5.1150 Å, c = 5.1150 Å
α = 60.00°, β = 60.00°, γ = 60.00°
Closest atoms and distances in Å follow each position.
Sites, in units of the cell vectors:
Hf1 0.2500 0.2500 0.2500  4 Sr 3.13, 4 Ag 3.13
Hf2 0.7500 0.7500 0.7500  4 Sr 3.13, 4 Ag 3.13
Ag1 0.5000 0.5000 0.5000  8 Hf 3.13
Sr1 0.0000 0.0000 0.0000  8 Hf 3.13

Crystal system: cubic
Total magnetic moment, μB per cell: 0.0
DFT formation energy, eV/f.u.: 2.963
ΔE to the lowest computed polymorph, meV/atom: 111
Total energy, eV per atom: -5.37